(P)
DFT (PBE) results for an optimized crystal structure of Nd7YEr3.

Computed properties:
symmetry	C2/m
size of the total moment	0.00	μB/cell
calculated volume	34.812	A^3/atom

Cell: 8.5743 8.5743 5.9062 Å, 110.10 110.10 83.20°
With the nearest neighbours (Å) after each atom.
Element x y z (fractional)
Nd 0.0000 0.0000 0.0000  2 Y 2.95
Nd 0.0972 0.5160 0.3067  2 Er 3.25-3.63, 3 Nd 3.35-3.49
Nd 0.2922 0.2922 0.7937  2 Er 3.32, 1 Y 3.33, 2 Nd 3.49
Nd 0.4840 0.9028 0.6933  2 Er 3.25-3.63, 3 Nd 3.35-3.49
Nd 0.5160 0.0972 0.3067  2 Er 3.25-3.63, 3 Nd 3.35-3.49
Nd 0.7078 0.7078 0.2063  2 Er 3.32, 1 Y 3.33, 2 Nd 3.49
Nd 0.9028 0.4840 0.6933  2 Er 3.25-3.63, 3 Nd 3.35-3.49
Y 0.0000 0.0000 0.5000  2 Nd 2.95
Er 0.2957 0.7043 0.0000  9 Nd 3.32-3.69
Er 0.5000 0.5000 0.5000  4 Nd 3.25
Er 0.7043 0.2957 0.0000  9 Nd 3.32-3.69

(Q)
DFT (PBE) results for an optimized crystal structure of Nd7YEr3.

Computed properties:
symmetry	P-1
size of the total moment	0.00	μB/cell
calculated volume	34.677	A^3/atom

Cell: 7.1109 10.2234 11.1923 Å, 89.94 89.83 69.66°
With the nearest neighbours (Å) after each atom.
Element x y z (fractional)
Nd 0.0844 0.3301 0.0169  5 Nd 3.28-3.63, 3 Er 3.44-3.63, 1 Y 3.64
Nd 0.0856 0.3301 0.4832  5 Nd 3.28-3.63, 3 Er 3.44-3.63, 1 Y 3.64
Nd 0.1603 0.1770 0.7500  3 Nd 3.33-3.42, 4 Er 3.71-3.72, 1 Y 3.72
Nd 0.1989 0.1017 0.2500  4 Nd 3.41-3.64, 2 Y 3.45, 2 Er 3.46
Nd 0.3397 0.8204 0.7500  4 Er 3.41-3.73, 5 Nd 3.42-3.64, 2 Y 3.74
Nd 0.4094 0.6800 0.0450  3 Er 3.50-3.58, 4 Nd 3.57-3.63, 1 Y 3.58
Nd 0.4104 0.6799 0.4550  3 Er 3.50-3.58, 4 Nd 3.57-3.63, 1 Y 3.58
Nd 0.5896 0.3201 0.5450  3 Er 3.50-3.58, 4 Nd 3.57-3.63, 1 Y 3.58
Nd 0.5906 0.3200 0.9550  3 Er 3.50-3.58, 4 Nd 3.57-3.63, 1 Y 3.58
Nd 0.6603 0.1796 0.2500  4 Er 3.41-3.73, 5 Nd 3.42-3.64, 2 Y 3.74
Nd 0.8011 0.8983 0.7500  4 Nd 3.41-3.64, 2 Y 3.45, 2 Er 3.46
Nd 0.8397 0.8230 0.2500  3 Nd 3.33-3.42, 4 Er 3.71-3.72, 1 Y 3.72
Nd 0.9144 0.6699 0.5168  5 Nd 3.28-3.63, 3 Er 3.44-3.63, 1 Y 3.64
Nd 0.9156 0.6699 0.9831  5 Nd 3.28-3.63, 3 Er 3.44-3.63, 1 Y 3.64
Y 0.0000 0.0000 0.5000  10 Nd 3.45-3.74, 2 Er 3.56
Y 0.5000 0.0000 0.0000  10 Nd 3.45-3.74, 2 Er 3.56
Er 0.0000 0.0000 0.0000  10 Nd 3.46-3.73, 2 Y 3.56
Er 0.2323 0.5195 0.7498  6 Nd 3.42-3.71, 2 Er 3.44-3.67
Er 0.2523 0.4801 0.2498  6 Nd 3.41-3.71, 2 Er 3.44-3.67
Er 0.5000 0.0000 0.5000  10 Nd 3.46-3.73, 2 Y 3.56
Er 0.7477 0.5199 0.7502  6 Nd 3.41-3.71, 2 Er 3.44-3.67
Er 0.7677 0.4805 0.2502  6 Nd 3.42-3.71, 2 Er 3.44-3.67

(Q) is preferred energetically. Next in line: 108 meV per atom higher.

(P)
DFT (PBE) results for an optimized crystal structure of Nd3Y5Er4.

Computed properties:
symmetry	C2/m
size of the total moment	0.36	μB/cell
calculated volume	33.123	A^3/atom

Cell: 9.3326 9.3326 8.7454 Å, 115.06 115.06 35.64°
With the nearest neighbours (Å) after each atom.
Element x y z (fractional)
Nd 0.0000 0.0000 0.0000  2 Y 2.86
Nd 0.3155 0.3155 0.7716  2 Y 2.98-3.34, 2 Er 3.33
Nd 0.6845 0.6845 0.2284  2 Y 2.98-3.34, 2 Er 3.33
Y 0.0946 0.0946 0.4382  2 Nd 3.43-3.71, 4 Er 3.51-3.56, 1 Y 3.62
Y 0.1626 0.1626 0.8952  2 Nd 3.34-3.40, 3 Er 3.55-3.64, 1 Y 3.62
Y 0.5000 0.5000 0.0000  4 Nd 2.86-2.98, 2 Er 3.02
Y 0.8374 0.8374 0.1048  2 Nd 3.34-3.40, 3 Er 3.55-3.64, 1 Y 3.62
Y 0.9054 0.9054 0.5618  2 Nd 3.43-3.71, 4 Er 3.51-3.56, 1 Y 3.62
Er 0.2903 0.2903 0.3555  1 Er 3.27, 3 Nd 3.33-3.46, 3 Y 3.51-3.64
Er 0.4616 0.4616 0.3032  1 Y 3.02, 2 Er 3.09-3.27
Er 0.5384 0.5384 0.6968  1 Y 3.02, 2 Er 3.09-3.27
Er 0.7097 0.7097 0.6445  1 Er 3.27, 3 Nd 3.33-3.46, 3 Y 3.51-3.64

(Q)
DFT (PBE) results for an optimized crystal structure of Nd3Y5Er4.

Computed properties:
symmetry	P-1
size of the total moment	0.00	μB/cell
calculated volume	32.332	A^3/atom

Cell: 6.1922 7.1538 8.7585 Å, 90.04 90.10 90.21°
With the nearest neighbours (Å) after each atom.
Element x y z (fractional)
Nd 0.0000 0.0000 0.0000  8 Y 3.57-3.59, 2 Er 3.59, 2 Nd 3.59
Nd 0.1656 0.7480 0.6660  6 Er 3.55-3.61, 5 Y 3.57-3.59, 1 Nd 3.59
Nd 0.8344 0.2520 0.3340  6 Er 3.55-3.61, 5 Y 3.57-3.59, 1 Nd 3.59
Y 0.0000 0.5000 0.0000  4 Y 3.57, 4 Nd 3.57-3.58, 4 Er 3.57-3.59
Y 0.3333 0.0000 0.3341  3 Y 3.56-3.59, 5 Er 3.57-3.58, 4 Nd 3.58
Y 0.4987 0.2516 0.9998  6 Y 3.55-3.60, 3 Er 3.56-3.58, 3 Nd 3.57-3.59
Y 0.5013 0.7484 0.0002  6 Y 3.55-3.60, 3 Er 3.56-3.58, 3 Nd 3.57-3.59
Y 0.6667 0.0000 0.6659  3 Y 3.56-3.59, 5 Er 3.57-3.58, 4 Nd 3.58
Er 0.1681 0.2520 0.6665  4 Nd 3.55-3.61, 3 Er 3.55-3.59, 5 Y 3.56-3.58
Er 0.3344 0.5003 0.3348  4 Er 3.54-3.59, 3 Nd 3.56-3.58, 5 Y 3.57-3.59
Er 0.6656 0.4997 0.6652  4 Er 3.54-3.59, 3 Nd 3.56-3.58, 5 Y 3.57-3.59
Er 0.8319 0.7480 0.3335  4 Nd 3.55-3.61, 3 Er 3.55-3.59, 5 Y 3.56-3.58

(Q) is preferred energetically. Next in line: 248 meV per atom higher.

(P)
DFT (PBE) results for an optimized crystal structure of Nd4Y3Er2.

Computed properties:
symmetry	Cccm
size of the total moment	0.00	μB/cell
calculated volume	33.168	A^3/atom

Cell: 9.8448 9.8448 7.1294 Å, 90.00 90.00 120.23°
With the nearest neighbours (Å) after each atom.
Element x y z (fractional)
Nd 0.1524 0.1779 0.0000  4 Nd 3.27-3.59, 1 Er 3.29, 2 Y 3.61
Nd 0.1532 0.4757 0.5000  2 Nd 3.28-3.31, 3 Er 3.29-3.59, 2 Y 3.57
Nd 0.1779 0.1524 0.5000  4 Nd 3.27-3.59, 1 Er 3.29, 2 Y 3.61
Nd 0.4757 0.1532 0.0000  2 Nd 3.28-3.31, 3 Er 3.29-3.59, 2 Y 3.57
Nd 0.5243 0.8468 0.0000  2 Nd 3.28-3.31, 3 Er 3.29-3.59, 2 Y 3.57
Nd 0.8221 0.8476 0.5000  4 Nd 3.27-3.59, 1 Er 3.29, 2 Y 3.61
Nd 0.8468 0.5243 0.5000  2 Nd 3.28-3.31, 3 Er 3.29-3.59, 2 Y 3.57
Nd 0.8476 0.8221 0.0000  4 Nd 3.27-3.59, 1 Er 3.29, 2 Y 3.61
Y 0.1706 0.8294 0.2500  4 Er 3.53-3.88, 2 Y 3.56, 8 Nd 3.57-3.95
Y 0.1706 0.8294 0.7500  4 Er 3.53-3.88, 2 Y 3.56, 8 Nd 3.57-3.95
Y 0.5000 0.5000 0.2500  2 Y 3.56, 8 Nd 3.74-3.75, 4 Er 3.75
Y 0.5000 0.5000 0.7500  2 Y 3.56, 8 Nd 3.74-3.75, 4 Er 3.75
Y 0.8294 0.1706 0.2500  4 Er 3.53-3.88, 2 Y 3.56, 8 Nd 3.57-3.95
Y 0.8294 0.1706 0.7500  4 Er 3.53-3.88, 2 Y 3.56, 8 Nd 3.57-3.95
Er 0.1779 0.5237 0.0000  4 Nd 3.29-3.59, 1 Er 3.29, 2 Y 3.53
Er 0.4763 0.8221 0.5000  4 Nd 3.29-3.59, 1 Er 3.29, 2 Y 3.53
Er 0.5237 0.1779 0.5000  4 Nd 3.29-3.59, 1 Er 3.29, 2 Y 3.53
Er 0.8221 0.4763 0.0000  4 Nd 3.29-3.59, 1 Er 3.29, 2 Y 3.53

(Q)
DFT (PBE) results for an optimized crystal structure of Nd4Y3Er2.

Computed properties:
symmetry	C2/m
size of the total moment	0.00	μB/cell
calculated volume	33.172	A^3/atom

Cell: 6.2257 6.2257 10.8258 Å, 106.46 106.46 48.47°
With the nearest neighbours (Å) after each atom.
Element x y z (fractional)
Nd 0.0004 0.0004 0.1682  3 Er 3.58-3.60, 6 Y 3.59-3.62, 3 Nd 3.60-3.64
Nd 0.9996 0.9996 0.8318  3 Er 3.58-3.60, 6 Y 3.59-3.62, 3 Nd 3.60-3.64
Nd 0.3332 0.3332 0.6114  4 Y 3.60-3.62, 4 Er 3.60-3.62, 4 Nd 3.60-3.62
Nd 0.6668 0.6668 0.3886  4 Y 3.60-3.62, 4 Er 3.60-3.62, 4 Nd 3.60-3.62
Y 0.0000 0.0000 0.5000  8 Nd 3.59-3.60, 4 Er 3.63
Y 0.3335 0.3335 0.9455  3 Er 3.59-3.61, 3 Y 3.59, 6 Nd 3.60-3.62
Y 0.6665 0.6665 0.0545  3 Er 3.59-3.61, 3 Y 3.59, 6 Nd 3.60-3.62
Er 0.3324 0.3324 0.2765  7 Nd 3.58-3.62, 5 Y 3.59-3.63
Er 0.6676 0.6676 0.7235  7 Nd 3.58-3.62, 5 Y 3.59-3.63

(Q) is preferred energetically. Next in line: 27 meV per atom higher.

(P)
DFT (PBE) results for an optimized crystal structure of Nd4Y4Er3.

Computed properties:
symmetry	Immm
size of the total moment	0.00	μB/cell
calculated volume	33.959	A^3/atom

Cell: 12.1302 12.1302 12.1302 Å, 162.83 134.72 48.77°
With the nearest neighbours (Å) after each atom.
Element x y z (fractional)
Nd 0.0361 0.8578 0.1783  3 Nd 3.33-3.62, 4 Y 3.40-3.71, 2 Er 3.59
Nd 0.3205 0.1422 0.1783  3 Nd 3.33-3.62, 4 Y 3.40-3.71, 2 Er 3.59
Nd 0.6795 0.8578 0.8217  3 Nd 3.33-3.62, 4 Y 3.40-3.71, 2 Er 3.59
Nd 0.9639 0.1422 0.8217  3 Nd 3.33-3.62, 4 Y 3.40-3.71, 2 Er 3.59
Y 0.2595 0.7595 0.5000  2 Er 3.44, 6 Nd 3.57-3.71, 2 Y 3.62
Y 0.3185 0.0000 0.3185  3 Y 3.39-3.62, 2 Nd 3.40, 6 Er 3.44-3.48
Y 0.6815 0.0000 0.6815  3 Y 3.39-3.62, 2 Nd 3.40, 6 Er 3.44-3.48
Y 0.7405 0.2405 0.5000  2 Er 3.44, 6 Nd 3.57-3.71, 2 Y 3.62
Er 0.0000 0.5000 0.5000  4 Y 3.48, 2 Er 3.62
Er 0.3921 0.3921 0.0000  6 Y 3.44, 4 Nd 3.59, 2 Er 3.62
Er 0.6079 0.6079 0.0000  6 Y 3.44, 4 Nd 3.59, 2 Er 3.62

(Q)
DFT (PBE) results for an optimized crystal structure of Nd4Y4Er3.

Computed properties:
symmetry	P-1
size of the total moment	0.00	μB/cell
calculated volume	32.770	A^3/atom

Cell: 3.5442 5.6518 18.3005 Å, 81.14 84.45 90.00°
With the nearest neighbours (Å) after each atom.
Element x y z (fractional)
Nd 0.0458 0.0468 0.4082  2 Y 3.25, 3 Nd 3.30-3.54
Nd 0.1792 0.6798 0.1409  3 Y 3.20-3.41, 2 Nd 3.54
Nd 0.8208 0.3202 0.8591  3 Y 3.20-3.41, 2 Nd 3.54
Nd 0.9542 0.9532 0.5918  2 Y 3.25, 3 Nd 3.30-3.54
Y 0.0902 0.5915 0.3188  3 Nd 3.20-3.25, 2 Y 3.54
Y 0.2329 0.2328 0.0345  4 Nd 3.41-3.62, 6 Y 3.54-3.56
Y 0.7671 0.7672 0.9655  4 Nd 3.41-3.62, 6 Y 3.54-3.56
Y 0.9098 0.4085 0.6812  3 Nd 3.20-3.25, 2 Y 3.54
Er 0.3636 0.8629 0.7737  2 Er 3.54, 6 Nd 3.67-3.72, 6 Y 3.73-3.88
Er 0.5000 0.5000 0.5000  2 Er 3.54, 4 Y 3.71, 8 Nd 3.72-3.73
Er 0.6364 0.1371 0.2263  2 Er 3.54, 6 Nd 3.67-3.72, 6 Y 3.73-3.88

(Q) is preferred energetically. Next in line: 68 meV per atom higher.